1.
Here is a relaxed Lu2FeOs crystal from Alexandria. Energies are from PBE.

Lattice parameters (Å, degrees): 3.171 3.171 9.696 80.59 80.59 60.00
Atoms (fractional coordinates):
Lu 0.907 0.907 0.280
Lu 0.093 0.093 0.720
Fe 0.000 0.000 0.000
Os 0.500 0.500 0.500

2.
Here is a relaxed Lu2FeOs crystal from Alexandria. Energies are from PBE.

Lattice parameters (Å, degrees): 3.364 3.364 6.617 90.00 90.00 90.00
Atoms (fractional coordinates):
Fe 0.500 0.500 0.500
Lu 0.000 0.000 0.755
Lu 0.000 0.000 0.245
Os 0.500 0.500 0.000

| no. | total energy (eV per atom) | M_tot (μB per formula unit) | DFT formation energy (meV per atom) |
| --- | --- | --- | --- |
| 1 | -6.6626 | 2.0 | 521 |
| 2 | -7.2775 | 1.8 | -94 |